one.
Entry from Alexandria: a relaxed U2Ni2P3 crystal (PBE-GGA).

Total moment, Bohr magnetons per cell: 12.66

The structure in CIF format:
```
data_U2Ni2P3
_symmetry_space_group_name_H-M 'C m c m'
_symmetry_Int_Tables_number 63
_symmetry_space_group_name_Hall '-C 2c 2'
_cell_length_a 3.780
_cell_length_b 16.557
_cell_length_c 7.097
_cell_angle_alpha 90.00
_cell_angle_beta 90.00
_cell_angle_gamma 90.00
loop_
_atom_site_label
_atom_site_type_symbol
_atom_site_fract_x
_atom_site_fract_y
_atom_site_fract_z
U1 U 0.000 0.049 0.250
U2 U 0.000 0.144 0.750
Ni1 Ni 0.000 0.298 0.566
P1 P 0.000 0.225 0.250
P2 P 0.000 0.430 0.030
```

***

two.
Entry from Alexandria: a relaxed U2Ni2P3 crystal (PBE-GGA).

Total moment, Bohr magnetons per cell: 7.73

The structure in CIF format:
```
data_U2Ni2P3
_symmetry_space_group_name_H-M 'P 1 21/c 1'
_symmetry_Int_Tables_number 14
_symmetry_space_group_name_Hall '-P 2ybc'
_cell_length_a 5.748
_cell_length_b 7.277
_cell_length_c 6.507
_cell_angle_alpha 90.00
_cell_angle_beta 117.71
_cell_angle_gamma 90.00
loop_
_atom_site_label
_atom_site_type_symbol
_atom_site_fract_x
_atom_site_fract_y
_atom_site_fract_z
U1 U 0.185 0.192 0.400
Ni1 Ni 0.379 0.619 0.571
P1 P 0.000 0.000 0.000
P2 P 0.349 0.601 0.202
```

***

Going by the energies, one is most stable and the next is 80 meV/atom up.

***

one.
Entry from Alexandria: a relaxed VNiP3 crystal (PBE-GGA).

Total moment, Bohr magnetons per cell: 0.00

The structure in CIF format:
```
data_VNiP3
_symmetry_space_group_name_H-M 'P m -3 m'
_symmetry_Int_Tables_number 221
_symmetry_space_group_name_Hall '-P 4 2 3'
_cell_length_a 4.462
_cell_length_b 4.462
_cell_length_c 4.462
_cell_angle_alpha 90.00
_cell_angle_beta 90.00
_cell_angle_gamma 90.00
loop_
_atom_site_label
_atom_site_type_symbol
_atom_site_fract_x
_atom_site_fract_y
_atom_site_fract_z
V1 V 0.000 0.000 0.000
Ni1 Ni 0.500 0.500 0.500
P1 P 0.000 0.000 0.500
```

***

two.
Entry from Alexandria: a relaxed VNiP3 crystal (PBE-GGA).

Total moment, Bohr magnetons per cell: 2.22

The structure in CIF format:
```
data_VNiP3
_symmetry_space_group_name_H-M 'P m -3 m'
_symmetry_Int_Tables_number 221
_symmetry_space_group_name_Hall '-P 4 2 3'
_cell_length_a 4.366
_cell_length_b 4.366
_cell_length_c 4.366
_cell_angle_alpha 90.00
_cell_angle_beta 90.00
_cell_angle_gamma 90.00
loop_
_atom_site_label
_atom_site_type_symbol
_atom_site_fract_x
_atom_site_fract_y
_atom_site_fract_z
V1 V 0.000 0.000 0.000
Ni1 Ni 0.500 0.500 0.500
P1 P 0.000 0.500 0.500
```

***

Going by the energies, one is most stable and the next is 15 meV/atom up.

***

one.
Entry from Alexandria: a relaxed NiP2W2 crystal (PBE-GGA).

Total moment, Bohr magnetons per cell: 0.00

The structure in CIF format:
```
data_NiP2W2
_symmetry_space_group_name_H-M 'P 4/m b m'
_symmetry_Int_Tables_number 127
_symmetry_space_group_name_Hall '-P 4 2ab'
_cell_length_a 6.620
_cell_length_b 6.620
_cell_length_c 3.126
_cell_angle_alpha 90.00
_cell_angle_beta 90.00
_cell_angle_gamma 90.00
loop_
_atom_site_label
_atom_site_type_symbol
_atom_site_fract_x
_atom_site_fract_y
_atom_site_fract_z
Ni1 Ni 0.000 0.000 0.000
P1 P 0.149 0.351 0.000
W1 W 0.149 0.649 0.500
```

***

two.
Entry from Alexandria: a relaxed NiP2W2 crystal (PBE-GGA).

Total moment, Bohr magnetons per cell: 0.00

The structure in CIF format:
```
data_NiP2W2
_symmetry_space_group_name_H-M 'I 4/m m m'
_symmetry_Int_Tables_number 139
_symmetry_space_group_name_Hall '-I 4 2'
_cell_length_a 4.160
_cell_length_b 4.160
_cell_length_c 8.933
_cell_angle_alpha 90.00
_cell_angle_beta 90.00
_cell_angle_gamma 90.00
loop_
_atom_site_label
_atom_site_type_symbol
_atom_site_fract_x
_atom_site_fract_y
_atom_site_fract_z
Ni1 Ni 0.000 0.000 0.000
P1 P 0.000 0.000 0.382
W1 W 0.000 0.500 0.250
```

***

Going by the energies, one is most stable and the next is 124 meV/atom up.

***

one.
Entry from Alexandria: a relaxed Ni3PW crystal (PBE-GGA).

Total moment, Bohr magnetons per cell: 1.56

The structure in CIF format:
```
data_Ni3PW
_symmetry_space_group_name_H-M 'P m -3 m'
_symmetry_Int_Tables_number 221
_symmetry_space_group_name_Hall '-P 4 2 3'
_cell_length_a 4.091
_cell_length_b 4.091
_cell_length_c 4.091
_cell_angle_alpha 90.00
_cell_angle_beta 90.00
_cell_angle_gamma 90.00
loop_
_atom_site_label
_atom_site_type_symbol
_atom_site_fract_x
_atom_site_fract_y
_atom_site_fract_z
Ni1 Ni 0.000 0.000 0.500
P1 P 0.000 0.000 0.000
W1 W 0.500 0.500 0.500
```

***

two.
Entry from Alexandria: a relaxed Ni3PW crystal (PBE-GGA).

Total moment, Bohr magnetons per cell: 0.00

The structure in CIF format:
```
data_Ni3PW
_symmetry_space_group_name_H-M 'P m -3 m'
_symmetry_Int_Tables_number 221
_symmetry_space_group_name_Hall '-P 4 2 3'
_cell_length_a 4.507
_cell_length_b 4.507
_cell_length_c 4.507
_cell_angle_alpha 90.00
_cell_angle_beta 90.00
_cell_angle_gamma 90.00
loop_
_atom_site_label
_atom_site_type_symbol
_atom_site_fract_x
_atom_site_fract_y
_atom_site_fract_z
Ni1 Ni 0.000 0.000 0.500
P1 P 0.500 0.500 0.500
W1 W 0.000 0.000 0.000
```

***

Going by the energies, one is most stable and the next is 1092 meV/atom up.

***

one.
Entry from Alexandria: a relaxed YNiP4 crystal (PBE-GGA).

Total moment, Bohr magnetons per cell: 0.00

The structure in CIF format:
```
data_YNiP4
_symmetry_space_group_name_H-M 'C m m m'
_symmetry_Int_Tables_number 65
_symmetry_space_group_name_Hall '-C 2 2'
_cell_length_a 4.808
_cell_length_b 11.072
_cell_length_c 7.754
_cell_angle_alpha 90.00
_cell_angle_beta 90.00
_cell_angle_gamma 90.00
loop_
_atom_site_label
_atom_site_type_symbol
_atom_site_fract_x
_atom_site_fract_y
_atom_site_fract_z
Y1 Y 0.000 0.000 0.000
Y2 Y 0.000 0.000 0.500
Ni1 Ni 0.000 0.387 0.000
P1 P 0.000 0.272 0.500
P2 P 0.000 0.500 0.252
P3 P 0.250 0.250 0.167
```

***

two.
Entry from Alexandria: a relaxed YNiP4 crystal (PBE-GGA).

Total moment, Bohr magnetons per cell: 0.00

The structure in CIF format:
```
data_YNiP4
_symmetry_space_group_name_H-M 'F -4 3 m'
_symmetry_Int_Tables_number 216
_symmetry_space_group_name_Hall 'F -4 2 3'
_cell_length_a 7.258
_cell_length_b 7.258
_cell_length_c 7.258
_cell_angle_alpha 90.00
_cell_angle_beta 90.00
_cell_angle_gamma 90.00
loop_
_atom_site_label
_atom_site_type_symbol
_atom_site_fract_x
_atom_site_fract_y
_atom_site_fract_z
Y1 Y 0.000 0.000 0.000
Ni1 Ni 0.250 0.250 0.250
P1 P 0.119 0.119 0.619
```

***

Going by the energies, one is most stable and the next is 292 meV/atom up.

***

one.
Entry from Alexandria: a relaxed YNiP3 crystal (PBE-GGA).

Total moment, Bohr magnetons per cell: 0.00

The structure in CIF format:
```
data_YNiP3
_symmetry_space_group_name_H-M 'P m -3 m'
_symmetry_Int_Tables_number 221
_symmetry_space_group_name_Hall '-P 4 2 3'
_cell_length_a 4.480
_cell_length_b 4.480
_cell_length_c 4.480
_cell_angle_alpha 90.00
_cell_angle_beta 90.00
_cell_angle_gamma 90.00
loop_
_atom_site_label
_atom_site_type_symbol
_atom_site_fract_x
_atom_site_fract_y
_atom_site_fract_z
Y1 Y 0.000 0.000 0.000
Ni1 Ni 0.500 0.500 0.500
P1 P 0.000 0.500 0.500
```

***

two.
Entry from Alexandria: a relaxed YNiP3 crystal (PBE-GGA).

Total moment, Bohr magnetons per cell: 0.67

The structure in CIF format:
```
data_YNiP3
_symmetry_space_group_name_H-M 'P m -3 m'
_symmetry_Int_Tables_number 221
_symmetry_space_group_name_Hall '-P 4 2 3'
_cell_length_a 5.197
_cell_length_b 5.197
_cell_length_c 5.197
_cell_angle_alpha 90.00
_cell_angle_beta 90.00
_cell_angle_gamma 90.00
loop_
_atom_site_label
_atom_site_type_symbol
_atom_site_fract_x
_atom_site_fract_y
_atom_site_fract_z
Y1 Y 0.000 0.000 0.000
Ni1 Ni 0.500 0.500 0.500
P1 P 0.000 0.000 0.500
```

***

Going by the energies, one is most stable and the next is 1375 meV/atom up.

***

one.
Entry from Alexandria: a relaxed YNi4P2 crystal (PBE-GGA).

Total moment, Bohr magnetons per cell: 0.00

The structure in CIF format:
```
data_YNi4P2
_symmetry_space_group_name_H-M 'P 42/m n m'
_symmetry_Int_Tables_number 136
_symmetry_space_group_name_Hall '-P 4n 2n'
_cell_length_a 7.107
_cell_length_b 7.107
_cell_length_c 3.606
_cell_angle_alpha 90.00
_cell_angle_beta 90.00
_cell_angle_gamma 90.00
loop_
_atom_site_label
_atom_site_type_symbol
_atom_site_fract_x
_atom_site_fract_y
_atom_site_fract_z
Y1 Y 0.000 0.000 0.000
Ni1 Ni 0.084 0.336 0.500
P1 P 0.221 0.779 0.500
```

***

two.
Entry from Alexandria: a relaxed YNi4P2 crystal (PBE-GGA).

Total moment, Bohr magnetons per cell: 0.00

The structure in CIF format:
```
data_YNi4P2
_symmetry_space_group_name_H-M 'R -3 m'
_symmetry_Int_Tables_number 166
_symmetry_space_group_name_Hall '-R 3 2"'
_cell_length_a 3.8785
_cell_length_b 3.8785
_cell_length_c 21.6876
_cell_angle_alpha 90.00
_cell_angle_beta 90.00
_cell_angle_gamma 120.00
loop_
_atom_site_label
_atom_site_type_symbol
_atom_site_fract_x
_atom_site_fract_y
_atom_site_fract_z
Y1 Y 0.0000 0.0000 0.0000
Ni1 Ni 0.0000 0.0000 0.1422
Ni2 Ni 0.0000 0.0000 0.4311
P1 P 0.0000 0.0000 0.2464
```

***

Going by the energies, one is most stable and the next is 85 meV/atom up.

***

one.
Entry from Alexandria: a relaxed YNi5P3 crystal (PBE-GGA).

Total moment, Bohr magnetons per cell: 0.00

The structure in CIF format:
```
data_YNi5P3
_symmetry_space_group_name_H-M 'C m c m'
_symmetry_Int_Tables_number 63
_symmetry_space_group_name_Hall '-C 2c 2'
_cell_length_a 3.563
_cell_length_b 11.641
_cell_length_c 11.438
_cell_angle_alpha 90.00
_cell_angle_beta 90.00
_cell_angle_gamma 90.00
loop_
_atom_site_label
_atom_site_type_symbol
_atom_site_fract_x
_atom_site_fract_y
_atom_site_fract_z
Y1 Y 0.000 0.158 0.250
Ni1 Ni 0.000 0.000 0.000
Ni2 Ni 0.000 0.201 0.573
Ni3 Ni 0.000 0.450 0.145
P1 P 0.000 0.119 0.750
P2 P 0.000 0.382 0.543
```

***

two.
Entry from Alexandria: a relaxed YNi5P3 crystal (PBE-GGA).

Total moment, Bohr magnetons per cell: 0.00

The structure in CIF format:
```
data_YNi5P3
_symmetry_space_group_name_H-M 'P n m a'
_symmetry_Int_Tables_number 62
_symmetry_space_group_name_Hall '-P 2ac 2n'
_cell_length_a 18.099
_cell_length_b 3.732
_cell_length_c 6.752
_cell_angle_alpha 90.00
_cell_angle_beta 90.00
_cell_angle_gamma 90.00
loop_
_atom_site_label
_atom_site_type_symbol
_atom_site_fract_x
_atom_site_fract_y
_atom_site_fract_z
Y1 Y 0.142 0.250 0.120
Ni1 Ni 0.004 0.750 0.128
Ni2 Ni 0.010 0.250 0.379
Ni3 Ni 0.113 0.250 0.635
Ni4 Ni 0.201 0.750 0.817
Ni5 Ni 0.205 0.750 0.429
P1 P 0.075 0.750 0.855
P2 P 0.083 0.750 0.397
P3 P 0.237 0.250 0.624
```

***

Going by the energies, two is most stable and the next is 21 meV/atom up.